{
  "formula": "Tl4V5CdClO15",
  "functional": "SCAN",
  "state": "single point on PBEsol structure",
  "cell": [[9.112, 0.000, 0.000], [0.000, 9.112, 0.000], [0.000, 0.000, 5.448]],
  "species": ["Tl", "Tl", "Tl", "Tl", "V", "V", "V", "V", "V", "Cd", "Cl", "O", "O", "O", "O", "O", "O", "O", "O", "O", "O", "O", "O", "O", "O", "O"],
  "fractional_positions": [[0.158, 0.688, 0.000], [0.312, 0.158, 0.000], [0.688, 0.842, 0.000], [0.842, 0.312, 0.000], [0.143, 0.379, 0.523], [0.379, 0.857, 0.523], [0.500, 0.500, 0.541], [0.621, 0.143, 0.523], [0.857, 0.621, 0.523], [0.000, 0.000, 0.580], [0.000, 0.000, 0.111], [0.000, 0.500, 0.628], [0.116, 0.212, 0.648], [0.142, 0.369, 0.222], [0.212, 0.884, 0.648], [0.310, 0.447, 0.632], [0.369, 0.858, 0.222], [0.447, 0.690, 0.632], [0.500, 0.000, 0.628], [0.500, 0.500, 0.249], [0.553, 0.310, 0.632], [0.631, 0.142, 0.222], [0.690, 0.553, 0.632], [0.788, 0.116, 0.648], [0.858, 0.631, 0.222], [0.884, 0.788, 0.648]],
  "m_tot_mub_per_fu": 0.00,
  "density_g_cm3": 5.4,
  "formation_energy_uncorrected_mev_per_atom": -2098,
  "sg": "P4"
}

=====

{
  "formula": "ScCr2Rh",
  "functional": "SCAN",
  "state": "single point on PBEsol structure",
  "cell": [[2.414, -4.301, 0.000], [2.414, 4.301, 0.000], [0.000, 0.000, 2.653]],
  "species": ["Sc", "Cr", "Cr", "Rh"],
  "fractional_positions": [[0.000, 0.000, 0.000], [0.000, 0.500, 0.500], [0.500, 0.000, 0.500], [0.500, 0.500, 0.000]],
  "m_tot_mub_per_fu": 0.00,
  "density_g_cm3": 7.6,
  "formation_energy_ev_per_atom": 0.24,
  "sg": "Cmmm"
}

=====

{
  "formula": "LaGaPd2",
  "functional": "SCAN",
  "state": "single point on PBEsol structure",
  "cell": [[7.551, 0.000, 0.000], [0.000, 7.013, 0.000], [0.000, 0.000, 5.776]],
  "species": ["La", "La", "La", "La", "Ga", "Ga", "Ga", "Ga", "Pd", "Pd", "Pd", "Pd", "Pd", "Pd", "Pd", "Pd"],
  "fractional_positions": [[0.034, 0.250, 0.151], [0.466, 0.750, 0.651], [0.534, 0.250, 0.349], [0.966, 0.750, 0.849], [0.120, 0.750, 0.347], [0.380, 0.250, 0.847], [0.620, 0.750, 0.153], [0.880, 0.250, 0.653], [0.176, 0.053, 0.587], [0.176, 0.447, 0.587], [0.324, 0.553, 0.087], [0.324, 0.947, 0.087], [0.676, 0.053, 0.913], [0.676, 0.447, 0.913], [0.824, 0.553, 0.413], [0.824, 0.947, 0.413]],
  "m_tot_mub_per_fu": 0.00,
  "density_g_cm3": 9.2,
  "formation_energy_ev_per_atom": -0.95,
  "sg": "Pnma"
}

=====

{
  "formula": "KTcPb2",
  "functional": "SCAN",
  "state": "single point on PBEsol structure",
  "cell": [[3.698, 0.000, 0.000], [0.000, 3.698, 0.000], [0.000, 0.000, 8.302]],
  "species": ["K", "Tc", "Pb", "Pb"],
  "fractional_positions": [[0.000, 0.000, 0.000], [0.500, 0.500, 0.658], [0.000, 0.000, 0.588], [0.500, 0.500, 0.319]],
  "m_tot_mub_per_fu": 0.00,
  "density_g_cm3": 8.1,
  "formation_energy_ev_per_atom": 0.49,
  "sg": "P4mm"
}

=====

{
  "formula": "SrTe2HN",
  "functional": "SCAN",
  "state": "single point on PBEsol structure",
  "cell": [[6.389, 0.000, 0.000], [0.000, 6.389, 0.000], [0.000, 0.000, 4.892]],
  "species": ["Sr", "Te", "Te", "H", "N"],
  "fractional_positions": [[0.000, 0.000, 0.000], [0.000, 0.500, 0.000], [0.500, 0.000, 0.000], [0.500, 0.500, 0.500], [0.000, 0.000, 0.500]],
  "de_polymorph_mev_per_atom": 768,
  "m_tot_mub_per_fu": 6.02,
  "density_g_cm3": 3.0,
  "sg": "P4/mmm"
}

=====

{
  "formula": "TaIr2Br",
  "functional": "SCAN",
  "state": "single point on PBEsol structure",
  "cell": [[2.729, -4.633, 0.000], [2.729, 4.633, 0.000], [-1.422, 0.000, 2.516]],
  "species": ["Ta", "Ir", "Ir", "Br"],
  "fractional_positions": [[0.000, 0.000, 0.000], [0.000, 0.500, 0.500], [0.500, 0.000, 0.500], [0.500, 0.500, 0.000]],
  "de_polymorph_mev_per_atom": 536,
  "m_tot_mub_per_fu": 0.00,
  "density_g_cm3": 16.8,
  "formation_energy_uncorrected_mev_per_atom": 627,
  "sg": "C2/m"
}